VASP calculation (PBE) on Nd2LuCd after structural relaxation.

Computed properties:
N(E_F) (states/eV/atom): 1.349
Energy above the lowest structure with this stoichiometry (eV per atom): 0.000
Uncorrected energy (Ry/atom): -0.2843
Space-group type: P4/mmm
Volume (A^3/atom): 30.60

abc: 3.697 3.697 8.953
angles: 90.00 90.00 90.00
Sites, in units of the cell vectors:
Nd (0.000, 0.000, 0.232)
Nd (0.000, 0.000, 0.768)
Lu (0.500, 0.500, 0.500)
Cd (0.500, 0.500, 0.000)

VASP calculation (PBE) on Nd2LuCd after structural relaxation.

Computed properties:
N(E_F) (states/eV/atom): 0.916
Energy above the lowest structure with this stoichiometry (eV per atom): 0.268
Uncorrected energy (Ry/atom): -0.2646
Space-group type: R-3m
Volume (A^3/atom): 32.76

abc: 12.490 12.490 12.490
angles: 16.13 16.13 16.13
Sites, in units of the cell vectors:
Nd (0.090, 0.090, 0.090)
Nd (0.910, 0.910, 0.910)
Lu (0.500, 0.500, 0.500)
Cd (0.000, 0.000, 0.000)

VASP calculation (PBE) on NdLu2Cd after structural relaxation.

Computed properties:
N(E_F) (states/eV/atom): 1.397
Energy above the lowest structure with this stoichiometry (eV per atom): 0.062
Uncorrected energy (Ry/atom): -0.2766
Space-group type: P4/mmm
Volume (A^3/atom): 28.31

abc: 4.833 4.833 4.847
angles: 90.00 90.00 90.00
Sites, in units of the cell vectors:
Nd (0.000, 0.000, 0.000)
Lu (0.000, 0.500, 0.500)
Lu (0.500, 0.000, 0.500)
Cd (0.500, 0.500, 0.000)

VASP calculation (PBE) on NdLu2Cd after structural relaxation.

Computed properties:
N(E_F) (states/eV/atom): 1.079
Energy above the lowest structure with this stoichiometry (eV per atom): 0.000
Uncorrected energy (Ry/atom): -0.2812
Space-group type: P4/mmm
Volume (A^3/atom): 28.67

abc: 3.567 3.567 9.014
angles: 90.00 90.00 90.00
Sites, in units of the cell vectors:
Nd (0.000, 0.000, 0.000)
Lu (0.500, 0.500, 0.281)
Lu (0.500, 0.500, 0.719)
Cd (0.000, 0.000, 0.500)

Calculated formation energy: -0.125, 0.143, -0.082, -0.145 (eV per atom)